Compound: TcPt2Se
Source: Alexandria
Functional: PBE
Structure: relaxed

Output
Magnetization   0.000 μB/cell
Formation energy (no corrections)   0.07 eV/atom
D(E_F)   2.4 states/eV per cell

Lattice parameters (Å, degrees): 2.8855 2.8855 7.8604 90.00 90.00 90.00
Atoms (fractional coordinates):
Tc: 0.0000 0.0000 0.0000
Pt: 0.0000 0.0000 0.4849
Pt: 0.5000 0.5000 0.2360
Se: 0.5000 0.5000 0.8004


Compound: TcPt2Se
Source: Alexandria
Functional: PBE
Structure: relaxed

Output
Magnetization   0.000 μB/cell
Formation energy (no corrections)   0.14 eV/atom
D(E_F)   2.5 states/eV per cell

Lattice parameters (Å, degrees): 6.4812 6.4812 6.4812 154.82 142.15 46.01
Atoms (fractional coordinates):
Tc: 0.0000 0.0000 0.0000
Pt: 0.2143 0.7143 0.5000
Pt: 0.5708 0.5708 0.0000
Se: 0.8328 0.3328 0.5000


Compound: TcPtSe
Source: Alexandria
Functional: PBE
Structure: relaxed

Output
Magnetization   0.000 μB/cell
Formation energy (no corrections)   -0.01 eV/atom
Distance to the lowest polymorph of the same formula   0.00 eV/f.u.
D(E_F)   6.4 states/eV per cell

Lattice parameters (Å, degrees): 3.0670 3.0670 12.4781 90.00 90.00 120.00
Atoms (fractional coordinates):
Tc: 0.0000 0.0000 0.1693
Tc: 0.0000 0.0000 0.8307
Pt: 0.6667 0.3333 0.0000
Pt: 0.6667 0.3333 0.5000
Se: 0.6667 0.3333 0.3038
Se: 0.6667 0.3333 0.6962


Compound: TcPtSe2
Source: Alexandria
Functional: PBE
Structure: relaxed

Output
Magnetization   0.001 μB/cell
Formation energy (no corrections)   0.33 eV/atom
Distance to the lowest polymorph of the same formula   2.01 eV/f.u.
D(E_F)   4.5 states/eV per cell

Lattice parameters (Å, degrees): 5.2297 5.2297 2.6951 90.22 90.22 106.67
Atoms (fractional coordinates):
Tc: 0.0000 0.0000 0.0000
Pt: 0.5000 0.5000 0.0000
Se: 0.0000 0.5000 0.0000
Se: 0.5000 0.0000 0.0000


Compound: TcPtSe2
Source: Alexandria
Functional: PBE
Structure: relaxed

Output
Magnetization   0.000 μB/cell
Formation energy (no corrections)   0.10 eV/atom
Distance to the lowest polymorph of the same formula   1.08 eV/f.u.
D(E_F)   6.4 states/eV per cell

Lattice parameters (Å, degrees): 6.7463 6.7463 6.7463 129.51 129.51 74.19
Atoms (fractional coordinates):
Tc: 0.0000 0.0000 0.0000
Tc: 0.7500 0.2500 0.5000
Pt: 0.2500 0.7500 0.5000
Pt: 0.5000 0.5000 0.0000
Se: 0.1114 0.6250 0.9864
Se: 0.3750 0.3614 0.4864
Se: 0.6386 0.1250 0.0136
Se: 0.8750 0.8886 0.5136


Compound: TcPt2Se
Source: Alexandria
Functional: PBE
Structure: relaxed

Output
Magnetization   1.251 μB/cell
Formation energy (no corrections)   0.33 eV/atom
D(E_F)   1.8 states/eV per cell

Lattice parameters (Å, degrees): 4.8893 4.8893 2.7449 90.00 90.00 90.00
Atoms (fractional coordinates):
Tc: 0.0000 0.0000 0.0000
Pt: 0.0000 0.5000 0.5000
Pt: 0.5000 0.0000 0.5000
Se: 0.5000 0.5000 0.0000


Compound: TcPtSe2
Source: Alexandria
Functional: PBE
Structure: relaxed

Output
Magnetization   0.000 μB/cell
Formation energy (no corrections)   0.36 eV/atom
Distance to the lowest polymorph of the same formula   2.13 eV/f.u.
D(E_F)   3.8 states/eV per cell

Lattice parameters (Å, degrees): 2.7016 4.2934 6.0906 90.00 90.14 90.00
Atoms (fractional coordinates):
Tc: 0.0000 0.0000 0.0000
Pt: 0.0000 0.0000 0.5000
Se: 0.0010 0.5000 0.2400
Se: 0.9990 0.5000 0.7600


Compound: TcPtSe
Source: Alexandria
Functional: PBE
Structure: relaxed

Output
Magnetization   0.000 μB/cell
Formation energy (no corrections)   0.07 eV/atom
Distance to the lowest polymorph of the same formula   0.25 eV/f.u.
D(E_F)   2.6 states/eV per cell

Lattice parameters (Å, degrees): 2.9585 2.9585 6.5828 90.00 90.00 120.00
Atoms (fractional coordinates):
Tc: 0.0000 0.0000 0.0000
Pt: 0.6667 0.3333 0.3364
Se: 0.3333 0.6667 0.7314


Compound: TcPt2Se
Source: Alexandria
Functional: PBE
Structure: relaxed

Output
Magnetization   0.000 μB/cell
Formation energy (no corrections)   0.19 eV/atom
D(E_F)   4.5 states/eV per cell

Lattice parameters (Å, degrees): 2.8922 4.1830 5.4563 90.00 105.29 90.00
Atoms (fractional coordinates):
Tc: 0.0000 0.0000 0.0000
Pt: 0.2583 0.0000 0.5143
Pt: 0.6156 0.5000 0.2311
Se: 0.8728 0.5000 0.7454


Compound: TcPtSe2
Source: Alexandria
Functional: PBE
Structure: relaxed

Output
Magnetization   0.000 μB/cell
Formation energy (no corrections)   0.14 eV/atom
Distance to the lowest polymorph of the same formula   1.25 eV/f.u.
D(E_F)   2.2 states/eV per cell

Lattice parameters (Å, degrees): 6.5384 6.5384 6.5384 153.36 145.01 44.51
Atoms (fractional coordinates):
Tc: 0.0000 0.0000 0.0000
Pt: 0.2118 0.7118 0.5000
Se: 0.5618 0.5618 0.0000
Se: 0.8334 0.3334 0.5000


Compound: TcPt2Se
Source: Alexandria
Functional: PBE
Structure: relaxed

Output
Magnetization   0.618 μB/cell
Formation energy (no corrections)   0.28 eV/atom
D(E_F)   5.2 states/eV per cell

Lattice parameters (Å, degrees): 4.4818 4.4818 4.4818 60.00 60.00 60.00
Atoms (fractional coordinates):
Tc: 0.0000 0.0000 0.0000
Pt: 0.5000 0.5000 0.5000
Pt: 0.7500 0.7500 0.7500
Se: 0.2500 0.2500 0.2500


Compound: TcPt2Se
Source: Alexandria
Functional: PBE
Structure: relaxed

Output
Magnetization   0.000 μB/cell
Formation energy (no corrections)   0.25 eV/atom
D(E_F)   3.6 states/eV per cell

Lattice parameters (Å, degrees): 4.9924 4.9924 2.7944 90.00 90.00 114.40
Atoms (fractional coordinates):
Tc: 0.0000 0.0000 0.0000
Pt: 0.0000 0.5000 0.5000
Pt: 0.5000 0.0000 0.5000
Se: 0.5000 0.5000 0.0000


Number 12 is which compound?
TcPt2Se